1:
Below is a relaxed structure of Sm2YGe2, with properties calculated at the GGA-PBE level.

Unit cell a=4.4115 b=6.6034 c=9.9231 alpha=77.84 beta=77.16 gamma=70.49
Fractional coordinates of all 10 atoms:
1 Sm 0.3207 0.2716 0.0870
2 Sm 0.4838 0.3450 0.6873
3 Sm 0.6793 0.7284 0.9130
4 Sm 0.5162 0.6550 0.3127
5 Y 0.7791 0.0808 0.3610
6 Y 0.2209 0.9192 0.6390
7 Ge 0.9783 0.1520 0.8914
8 Ge 0.1163 0.3290 0.4384
9 Ge 0.0217 0.8480 0.1086
10 Ge 0.8837 0.6710 0.5616

Summary:
calculated volume = 26.3 Å³/atom
crystal system = monoclinic
SG = C2/m


2:
Below is a relaxed structure of Sm2YGe2, with properties calculated at the GGA-PBE level.

Unit cell a=4.3524 b=7.6772 c=7.6772 alpha=90.00 beta=90.00 gamma=90.00
Fractional coordinates of all 10 atoms:
1 Sm 0.5000 0.1738 0.6738
2 Sm 0.5000 0.6738 0.8262
3 Sm 0.5000 0.8262 0.3262
4 Sm 0.5000 0.3262 0.1738
5 Y 0.0000 0.0000 0.0000
6 Y 0.0000 0.5000 0.5000
7 Ge 0.0000 0.3769 0.8769
8 Ge 0.0000 0.8769 0.6231
9 Ge 0.0000 0.6231 0.1231
10 Ge 0.0000 0.1231 0.3769

Summary:
calculated volume = 25.7 Å³/atom
crystal system = tetragonal
SG = P4/mbm


Here is how they stack up, most stable first: 2, 1.


1:
Below is a relaxed structure of Sm3Zn2Ge3, with properties calculated at the GGA-PBE level.

Unit cell a=4.2749 b=6.0008 c=14.5811 alpha=90.00 beta=90.00 gamma=110.87
Each line ends with the local moment (μB).
Fractional coordinates of all 16 atoms:
1 Sm 0.9291 0.8581 0.3873  0.08
2 Sm 0.0709 0.1419 0.8873  0.08
3 Sm 0.9291 0.8581 0.1127  0.08
4 Sm 0.0709 0.1419 0.6127  0.08
5 Sm 0.6437 0.2874 0.2500  0.14
6 Sm 0.3563 0.7126 0.7500  0.14
7 Zn 0.7731 0.5463 0.9034  0.01
8 Zn 0.2269 0.4537 0.4034  0.01
9 Zn 0.7731 0.5463 0.5966  0.01
10 Zn 0.2269 0.4537 0.0966  0.01
11 Ge 0.6198 0.2396 0.4561  0.00
12 Ge 0.3802 0.7604 0.9561  0.00
13 Ge 0.6198 0.2396 0.0439  0.00
14 Ge 0.3802 0.7604 0.5439  0.00
15 Ge 0.3558 0.7116 0.2500  0.00
16 Ge 0.6442 0.2884 0.7500  0.00

Summary:
calculated volume = 21.8 Å³/atom
crystal system = orthorhombic
SG = Cmcm


2:
Below is a relaxed structure of Sm3Zn2Ge3, with properties calculated at the GGA-PBE level.

Unit cell a=4.2387 b=5.9109 c=15.2776 alpha=90.00 beta=90.00 gamma=111.01
Fractional coordinates of all 16 atoms:
1 Sm 0.8621 0.7243 0.4027
2 Sm 0.1379 0.2757 0.9027
3 Sm 0.8621 0.7243 0.0973
4 Sm 0.1379 0.2757 0.5973
5 Sm 0.5684 0.1368 0.2500
6 Sm 0.4316 0.8632 0.7500
7 Zn 0.8503 0.7007 0.8785
8 Zn 0.1497 0.2993 0.3785
9 Zn 0.8503 0.7007 0.6215
10 Zn 0.1497 0.2993 0.1215
11 Ge 0.5863 0.1727 0.4478
12 Ge 0.4137 0.8273 0.9478
13 Ge 0.5863 0.1727 0.0522
14 Ge 0.4137 0.8273 0.5522
15 Ge 0.2969 0.5938 0.2500
16 Ge 0.7031 0.4062 0.7500

Summary:
calculated volume = 22.3 Å³/atom
crystal system = orthorhombic
SG = Cmcm


Here is how they stack up, most stable first: 1, 2.


1:
Below is a relaxed structure of Sm3ZnGe2, with properties calculated at the GGA-PBE level.

Unit cell a=6.0012 b=8.3847 c=7.5109 alpha=106.28 beta=113.55 gamma=90.00
Fractional coordinates of all 12 atoms:
1 Sm 0.5402 0.2500 0.0000
2 Sm 0.4598 0.7500 0.0000
3 Sm 0.1873 0.0924 0.3693
4 Sm 0.8180 0.4076 0.6307
5 Sm 0.1820 0.5924 0.3693
6 Sm 0.8127 0.9076 0.6307
7 Zn 0.9512 0.7500 0.0000
8 Zn 0.0488 0.2500 0.0000
9 Ge 0.6536 0.5785 0.3153
10 Ge 0.6617 0.0785 0.3153
11 Ge 0.3383 0.9215 0.6847
12 Ge 0.3464 0.4215 0.6847

Summary:
calculated volume = 27.5 Å³/atom
crystal system = monoclinic
SG = C2/c


2:
Below is a relaxed structure of Sm3ZnGe2, with properties calculated at the GGA-PBE level.

Unit cell a=4.3023 b=11.8255 c=11.7388 alpha=90.00 beta=90.00 gamma=90.00
Fractional coordinates of all 24 atoms:
1 Sm 0.2500 0.3777 0.0577
2 Sm 0.7500 0.6223 0.9423
3 Sm 0.7500 0.8777 0.4423
4 Sm 0.2500 0.1223 0.5577
5 Sm 0.2500 0.6962 0.2021
6 Sm 0.7500 0.3038 0.7979
7 Sm 0.7500 0.1962 0.2979
8 Sm 0.2500 0.8038 0.7021
9 Sm 0.2500 0.4357 0.3734
10 Sm 0.7500 0.5643 0.6266
11 Sm 0.7500 0.9357 0.1266
12 Sm 0.2500 0.0643 0.8734
13 Zn 0.2500 0.1379 0.1379
14 Zn 0.7500 0.8621 0.8621
15 Zn 0.7500 0.6379 0.3621
16 Zn 0.2500 0.3621 0.6379
17 Ge 0.2500 0.6807 0.4781
18 Ge 0.7500 0.3193 0.5219
19 Ge 0.7500 0.1807 0.0219
20 Ge 0.2500 0.8193 0.9781
21 Ge 0.2500 0.0018 0.3131
22 Ge 0.7500 0.9982 0.6869
23 Ge 0.7500 0.5018 0.1869
24 Ge 0.2500 0.4982 0.8131

Summary:
calculated volume = 24.9 Å³/atom
crystal system = orthorhombic
SG = Pnma


Here is how they stack up, most stable first: 2, 1.


1:
Below is a relaxed structure of SnGe3, with properties calculated at the GGA-PBE level.

Unit cell a=3.9540 b=3.9938 c=5.6194 alpha=90.00 beta=90.00 gamma=90.00
Fractional coordinates of all 4 atoms:
1 Ge 0.5000 0.3460 0.0000
2 Ge 0.5000 0.3214 0.5000
3 Ge 0.0000 0.8191 0.5000
4 Sn 0.0000 0.8468 0.0000

Summary:
calculated volume = 22.2 Å³/atom
crystal system = orthorhombic
SG = Pmm2


2:
Below is a relaxed structure of SnGe3, with properties calculated at the GGA-PBE level.

Unit cell a=5.1791 b=5.1791 c=5.1791 alpha=127.12 beta=127.12 gamma=78.06
Fractional coordinates of all 4 atoms:
1 Sn 0.0000 0.0000 0.0000
2 Ge 0.7500 0.2500 0.5000
3 Ge 0.2500 0.7500 0.5000
4 Ge 0.5000 0.5000 0.0000

Summary:
calculated volume = 21.4 Å³/atom
crystal system = tetragonal
SG = I4/mmm


3:
Below is a relaxed structure of SnGe3, with properties calculated at the GGA-PBE level.

Unit cell a=4.3995 b=4.3995 c=4.3995 alpha=90.00 beta=90.00 gamma=90.00
Fractional coordinates of all 4 atoms:
1 Sn 0.0000 0.0000 0.0000
2 Ge 0.0000 0.5000 0.5000
3 Ge 0.5000 0.0000 0.5000
4 Ge 0.5000 0.5000 0.0000

Summary:
calculated volume = 21.3 Å³/atom
crystal system = cubic
SG = Pm-3m


Here is how they stack up, most stable first: 1, 2, 3.


1:
Below is a relaxed structure of Sn5Ge, with properties calculated at the GGA-PBE level.

Unit cell a=4.2973 b=6.0383 c=6.7963 alpha=90.00 beta=108.56 gamma=90.00
Fractional coordinates of all 6 atoms:
1 Sn 0.4057 0.0000 0.8154
2 Sn 0.7055 0.0000 0.4071
3 Sn 0.3856 0.5000 0.7713
4 Sn 0.7255 0.5000 0.4509
5 Sn 0.0555 0.5000 0.1110
6 Ge 0.0555 0.0000 0.1110

Summary:
calculated volume = 27.9 Å³/atom
crystal system = monoclinic
SG = P2/m


2:
Below is a relaxed structure of Sn5Ge, with properties calculated at the GGA-PBE level.

Unit cell a=3.5485 b=5.4094 c=8.6161 alpha=108.30 beta=90.00 gamma=90.00
Fractional coordinates of all 6 atoms:
1 Ge 0.0000 0.0000 0.0000
2 Sn 0.0000 0.6777 0.3554
3 Sn 0.0000 0.3223 0.6446
4 Sn 0.5000 0.5000 0.0000
5 Sn 0.5000 0.1483 0.2966
6 Sn 0.5000 0.8517 0.7034

Summary:
calculated volume = 26.2 Å³/atom
crystal system = orthorhombic
SG = Cmmm


Here is how they stack up, most stable first: 1, 2.


1:
Below is a relaxed structure of Sr4Sn5Ge2, with properties calculated at the GGA-PBE level.

Unit cell a=4.8355 b=7.7366 c=9.1061 alpha=87.41 beta=90.00 gamma=90.00
Fractional coordinates of all 11 atoms:
1 Sr 0.5000 0.2436 0.6024
2 Sr 0.5000 0.7828 0.8629
3 Sr 0.5000 0.7564 0.3976
4 Sr 0.5000 0.2172 0.1371
5 Sn 0.0000 0.4378 0.3425
6 Sn 0.0000 0.8680 0.1293
7 Sn 0.0000 0.5000 0.0000
8 Sn 0.0000 0.1320 0.8707
9 Sn 0.0000 0.5622 0.6575
10 Ge 0.0000 0.9206 0.6253
11 Ge 0.0000 0.0794 0.3747

Summary:
calculated volume = 30.9 Å³/atom
crystal system = monoclinic
SG = P2/m


2:
Below is a relaxed structure of Sr4Sn5Ge2, with properties calculated at the GGA-PBE level.

Unit cell a=3.7680 b=8.6496 c=10.2113 alpha=95.37 beta=90.00 gamma=90.00
Fractional coordinates of all 11 atoms:
1 Sr 0.5000 0.7408 0.5387
2 Sr 0.5000 0.1761 0.8634
3 Sr 0.5000 0.2592 0.4613
4 Sr 0.5000 0.8239 0.1366
5 Sn 0.0000 0.5236 0.2990
6 Sn 0.0000 0.1888 0.1664
7 Sn 0.0000 0.5000 0.0000
8 Sn 0.0000 0.8112 0.8336
9 Sn 0.0000 0.4764 0.7010
10 Ge 0.0000 0.0389 0.6228
11 Ge 0.0000 0.9611 0.3772

Summary:
calculated volume = 30.1 Å³/atom
crystal system = monoclinic
SG = P2/m


Here is how they stack up, most stable first: 1, 2.


1:
Below is a relaxed structure of YTaSn2Ge, with properties calculated at the GGA-PBE level.

Unit cell a=5.1858 b=5.2075 c=5.1858 alpha=90.00 beta=90.00 gamma=90.00
Fractional coordinates of all 5 atoms:
1 Y 0.0000 0.5000 0.0000
2 Ge 0.0000 0.0000 0.0000
3 Sn 0.0000 0.0000 0.5000
4 Sn 0.5000 0.0000 0.0000
5 Ta 0.5000 0.5000 0.5000

Summary:
calculated volume = 28.0 Å³/atom
crystal system = tetragonal
SG = P4/mmm


2:
Below is a relaxed structure of YTaSn2Ge, with properties calculated at the GGA-PBE level.

Unit cell a=5.3312 b=4.9740 c=5.3312 alpha=90.00 beta=90.00 gamma=90.00
Fractional coordinates of all 5 atoms:
1 Y 0.5000 0.5000 0.5000
2 Ge 0.0000 0.5000 0.0000
3 Sn 0.0000 0.0000 0.5000
4 Sn 0.5000 0.0000 0.0000
5 Ta 0.0000 0.0000 0.0000

Summary:
calculated volume = 28.3 Å³/atom
crystal system = tetragonal
SG = P4/mmm


Here is how they stack up, most stable first: 2, 1.


1:
Below is a relaxed structure of TbSnGe2, with properties calculated at the GGA-PBE level.

Unit cell a=3.8381 b=3.8381 c=6.1553 alpha=90.00 beta=90.00 gamma=90.00
Fractional coordinates of all 4 atoms:
1 Ge 0.0000 0.0000 0.7610
2 Ge 0.0000 0.0000 0.2390
3 Tb 0.5000 0.5000 0.5000
4 Sn 0.5000 0.5000 0.0000

Summary:
calculated volume = 22.7 Å³/atom
crystal system = tetragonal
SG = P4/mmm


2:
Below is a relaxed structure of TbSnGe2, with properties calculated at the GGA-PBE level.

Unit cell a=4.1534 b=4.6276 c=4.6276 alpha=90.00 beta=90.00 gamma=90.00
Fractional coordinates of all 4 atoms:
1 Ge 0.0000 0.0000 0.5000
2 Ge 0.0000 0.5000 0.0000
3 Tb 0.5000 0.5000 0.5000
4 Sn 0.5000 0.0000 0.0000

Summary:
calculated volume = 22.2 Å³/atom
crystal system = tetragonal
SG = P4/mmm


3:
Below is a relaxed structure of TbSnGe2, with properties calculated at the GGA-PBE level.

Unit cell a=4.7494 b=4.7494 c=7.6491 alpha=71.91 beta=71.91 gamma=60.00
Fractional coordinates of all 4 atoms:
1 Ge 0.1194 0.1194 0.6419
2 Ge 0.8806 0.8806 0.3581
3 Tb 0.5000 0.5000 0.5000
4 Sn 0.0000 0.0000 0.0000

Summary:
calculated volume = 34.9 Å³/atom
crystal system = trigonal
SG = R-3m


Here is how they stack up, most stable first: 2, 1, 3.